Version w
The following is a DFT calculation (PBE-GGA) of an optimized crystal structure of K2BaBr.

Calculated values
D(E_F) ... 0.52 states/eV/atom

a = 4.2814 Å, b = 4.4352 Å, c = 11.7133 Å
α = 79.12°, β = 90.00°, γ = 90.00°
With the nearest neighbours (Å) after each atom.
Atoms (fractional coordinates):
Ba: 0.0000 0.6620 0.5505  2 Br 3.44
K: 0.0000 0.9790 0.9191  4 Br 3.45
K: 0.5000 0.3129 0.2456  4 K 4.28-4.44, 4 Ba 4.67
Br: 0.5000 0.5462 0.7849  2 Ba 3.44, 4 K 3.45

Version x
The following is a DFT calculation (PBE-GGA) of an optimized crystal structure of K2BaBr.

Calculated values
D(E_F) ... 0.87 states/eV/atom

a = 4.1732 Å, b = 4.1732 Å, c = 11.5967 Å
α = 90.00°, β = 90.00°, γ = 90.00°
With the nearest neighbours (Å) after each atom.
Atoms (fractional coordinates):
Ba: 0.5000 0.5000 0.5000  4 Ba 4.17
K: 0.0000 0.0000 0.1670  4 Br 3.53, 1 K 3.87
Br: 0.5000 0.5000 0.0000  8 K 3.53
K: 0.0000 0.0000 0.8330  4 Br 3.53, 1 K 3.87

Relative energy table, unit eV/atom: version w 0.000; version x 0.005